[1]
A relaxed structure of Ge2BiC. Source: Alexandria via LeMat-Bulk, functional PBE.

VASP energy	-16.01	eV per cell
size of the total moment	0.00	Bohr magnetons per cell
symmetry	Fm-3m (225)
ΔH_f (0 K)	1.582	eV/atom
DOS(E_F)	2.2	states/eV/cell
excess energy over the best structure of this formula in the dataset	0.893	eV per atom

POSCAR file:
```
Ge2BiC
1.0
0.000 3.405 3.405
3.405 0.000 3.405
3.405 3.405 0.000
Ge Bi C
2 1 1
direct
0.250 0.250 0.250
0.750 0.750 0.750
0.000 0.000 0.000
0.500 0.500 0.500
```



[2]
A relaxed structure of Rb12H3S5. Source: Alexandria via LeMat-Bulk, functional PBE.

VASP energy	-211.31	eV per cell
size of the total moment	5.60	Bohr magnetons per cell
symmetry	Ia-3d (230)
DOS(E_F)	106.2	states/eV/cell

POSCAR file:
```
Rb12H3S5
1.0
-9.675 9.675 9.675
9.675 -9.675 9.675
9.675 9.675 -9.675
Rb H S
48 12 20
direct
0.043 0.219 0.120
0.043 0.324 0.923
0.077 0.620 0.401
0.077 0.957 0.676
0.099 0.719 0.676
0.099 0.880 0.423
0.120 0.043 0.219
0.120 0.577 0.901
0.176 0.219 0.599
0.176 0.457 0.577
0.219 0.120 0.043
0.219 0.599 0.176
0.281 0.324 0.901
0.281 0.457 0.380
0.324 0.901 0.281
0.324 0.923 0.043
0.380 0.281 0.457
0.380 0.599 0.923
0.401 0.077 0.620
0.401 0.824 0.781
0.423 0.099 0.880
0.423 0.824 0.543
0.457 0.380 0.281
0.457 0.577 0.176
0.543 0.423 0.824
0.543 0.620 0.719
0.577 0.176 0.457
0.577 0.901 0.120
0.599 0.176 0.219
0.599 0.923 0.380
0.620 0.401 0.077
0.620 0.719 0.543
0.676 0.077 0.957
0.676 0.099 0.719
0.719 0.543 0.620
0.719 0.676 0.099
0.781 0.401 0.824
0.781 0.880 0.957
0.824 0.543 0.423
0.824 0.781 0.401
0.880 0.423 0.099
0.880 0.957 0.781
0.901 0.120 0.577
0.901 0.281 0.324
0.923 0.043 0.324
0.923 0.380 0.599
0.957 0.676 0.077
0.957 0.781 0.880
0.125 0.250 0.375
0.125 0.375 0.750
0.250 0.375 0.125
0.250 0.875 0.625
0.375 0.125 0.250
0.375 0.750 0.125
0.625 0.250 0.875
0.625 0.875 0.750
0.750 0.125 0.375
0.750 0.625 0.875
0.875 0.625 0.250
0.875 0.750 0.625
0.000 0.000 0.000
0.000 0.000 0.500
0.000 0.500 0.000
0.000 0.500 0.500
0.125 0.750 0.875
0.125 0.875 0.250
0.250 0.125 0.875
0.250 0.625 0.375
0.375 0.250 0.625
0.375 0.625 0.750
0.500 0.000 0.000
0.500 0.000 0.500
0.500 0.500 0.000
0.500 0.500 0.500
0.625 0.375 0.250
0.625 0.750 0.375
0.750 0.375 0.625
0.750 0.875 0.125
0.875 0.125 0.750
0.875 0.250 0.125
```



[3]
A relaxed structure of MgSbPt. Source: Alexandria via LeMat-Bulk, functional PBE.

VASP energy	-12.86	eV per cell
size of the total moment	0.00	Bohr magnetons per cell
symmetry	I4mm (107)
DOS(E_F)	1.1	states/eV/cell
ΔE_f (raw)	-0.37	eV/atom

POSCAR file:
```
MgSbPt
1.0
-1.889 1.889 4.131
1.889 -1.889 4.131
1.889 1.889 -4.131
Mg Sb Pt
1 1 1
direct
0.000 0.000 0.000
0.328 0.328 0.000
0.661 0.661 0.000
```



[4]
A relaxed structure of LiPm5Pd4. Source: Alexandria via LeMat-Bulk, functional PBE.

VASP energy	-52.30	eV per cell
size of the total moment	0.00	Bohr magnetons per cell
symmetry	P4/mmm (123)
ΔH_f (0 K)	-0.586	eV/atom
DOS(E_F)	9.6	states/eV/cell

POSCAR file:
```
LiPm5Pd4
1.0
3.620 0.000 0.000
0.000 3.620 0.000
0.000 0.000 18.417
Li Pm Pd
1 5 4
direct
0.000 0.000 0.000
0.500 0.500 0.115
0.500 0.500 0.306
0.500 0.500 0.500
0.500 0.500 0.694
0.500 0.500 0.885
0.000 0.000 0.205
0.000 0.000 0.403
0.000 0.000 0.597
0.000 0.000 0.795
```



[5]
A relaxed structure of Cd4AgPt15. Source: Alexandria via LeMat-Bulk, functional PBE.

VASP energy	-99.98	eV per cell
size of the total moment	0.00	Bohr magnetons per cell
symmetry	P4/mmm (123)
ΔH_f (0 K)	-0.143	eV/atom
DOS(E_F)	20.9	states/eV/cell

POSCAR file:
```
Cd4AgPt15
1.0
4.030 0.000 0.000
0.000 4.030 0.000
0.000 0.000 20.279
Cd Ag Pt
4 1 15
direct
0.000 0.000 0.100
0.000 0.000 0.301
0.000 0.000 0.699
0.000 0.000 0.900
0.000 0.000 0.500
0.000 0.500 0.000
0.000 0.500 0.201
0.000 0.500 0.401
0.000 0.500 0.599
0.000 0.500 0.799
0.500 0.000 0.000
0.500 0.000 0.201
0.500 0.000 0.401
0.500 0.000 0.599
0.500 0.000 0.799
0.500 0.500 0.101
0.500 0.500 0.301
0.500 0.500 0.500
0.500 0.500 0.699
0.500 0.500 0.899
```



[6]
A relaxed structure of Ac7Pm4Tm. Source: Alexandria via LeMat-Bulk, functional PBE.

VASP energy	-51.63	eV per cell
size of the total moment	0.00	Bohr magnetons per cell
symmetry	P-1 (2)
ΔH_f (0 K)	0.051	eV/atom
DOS(E_F)	21.1	states/eV/cell

POSCAR file:
```
Ac7Pm4Tm
1.0
6.656 0.000 0.000
0.052 7.664 0.000
3.295 2.038 9.417
Ac Pm Tm
7 4 1
direct
0.000 0.000 0.000
0.163 0.418 0.336
0.329 0.832 0.667
0.495 0.252 0.998
0.505 0.748 0.002
0.671 0.168 0.333
0.837 0.582 0.664
0.168 0.915 0.336
0.335 0.334 0.668
0.665 0.666 0.332
0.832 0.085 0.664
0.000 0.500 0.000
```



[7]
A relaxed structure of Gd2ThZn. Source: Alexandria via LeMat-Bulk, functional PBE.

VASP energy	-37.49	eV per cell
size of the total moment	14.49	Bohr magnetons per cell
symmetry	P4/mmm (123)
ΔH_f (0 K)	-0.159	eV/atom
DOS(E_F)	4.9	states/eV/cell
excess energy over the best structure of this formula in the dataset	0.000	eV per atom

POSCAR file:
```
Gd2ThZn
1.0
3.583 0.000 0.000
0.000 3.583 0.000
0.000 0.000 8.640
Gd Th Zn
2 1 1
direct
0.000 0.000 0.213
0.000 0.000 0.787
0.500 0.500 0.500
0.500 0.500 0.000
```



[8]
A relaxed structure of Th2MgTlC. Source: Alexandria via LeMat-Bulk, functional PBE.

VASP energy	-57.11	eV per cell
size of the total moment	0.00	Bohr magnetons per cell
symmetry	P4/nmm (129)
ΔH_f (0 K)	-0.106	eV/atom
DOS(E_F)	4.5	states/eV/cell

POSCAR file:
```
Th2MgTlC
1.0
4.019 0.000 0.000
0.000 4.019 0.000
0.000 0.000 15.058
Th Mg Tl C
4 2 2 2
direct
0.250 0.250 0.081
0.250 0.250 0.761
0.750 0.750 0.239
0.750 0.750 0.919
0.250 0.750 0.500
0.750 0.250 0.500
0.250 0.250 0.355
0.750 0.750 0.645
0.250 0.250 0.918
0.750 0.750 0.082
```